No. 1
Here is a relaxed Li12Te3I5 crystal from Alexandria via LeMat-Bulk. Energies are from PBE.

Calculated values
For the uncorrected formation energy, the calculation gives -962 meV/atom. As for the volume: 27.608 A^3/atom. The calculation puts the size of the total moment at 0.00 μB per cell.

Unit cell a=14.210 b=14.210 c=14.210 alpha=109.47 beta=109.47 gamma=109.47
Atoms (fractional coordinates):
Li: 0.069 0.231 0.151
Li: 0.069 0.338 0.918
Li: 0.080 0.731 0.662
Li: 0.080 0.849 0.418
Li: 0.082 0.651 0.420
Li: 0.082 0.931 0.662
Li: 0.151 0.069 0.231
Li: 0.151 0.582 0.920
Li: 0.162 0.231 0.580
Li: 0.162 0.431 0.582
Li: 0.231 0.151 0.069
Li: 0.231 0.580 0.162
Li: 0.269 0.338 0.920
Li: 0.269 0.431 0.349
Li: 0.338 0.918 0.069
Li: 0.338 0.920 0.269
Li: 0.349 0.269 0.431
Li: 0.349 0.580 0.918
Li: 0.418 0.080 0.849
Li: 0.418 0.838 0.569
Li: 0.420 0.082 0.651
Li: 0.420 0.838 0.769
Li: 0.431 0.349 0.269
Li: 0.431 0.582 0.162
Li: 0.569 0.418 0.838
Li: 0.569 0.651 0.731
Li: 0.580 0.162 0.231
Li: 0.580 0.918 0.349
Li: 0.582 0.162 0.431
Li: 0.582 0.920 0.151
Li: 0.651 0.420 0.082
Li: 0.651 0.731 0.569
Li: 0.662 0.080 0.731
Li: 0.662 0.082 0.931
Li: 0.731 0.569 0.651
Li: 0.731 0.662 0.080
Li: 0.769 0.420 0.838
Li: 0.769 0.849 0.931
Li: 0.838 0.569 0.418
Li: 0.838 0.769 0.420
Li: 0.849 0.418 0.080
Li: 0.849 0.931 0.769
Li: 0.918 0.069 0.338
Li: 0.918 0.349 0.580
Li: 0.920 0.151 0.582
Li: 0.920 0.269 0.338
Li: 0.931 0.662 0.082
Li: 0.931 0.769 0.849
Te: 0.125 0.250 0.375
Te: 0.125 0.375 0.750
Te: 0.250 0.375 0.125
Te: 0.250 0.875 0.625
Te: 0.375 0.125 0.250
Te: 0.375 0.750 0.125
Te: 0.625 0.250 0.875
Te: 0.625 0.875 0.750
Te: 0.750 0.125 0.375
Te: 0.750 0.625 0.875
Te: 0.875 0.625 0.250
Te: 0.875 0.750 0.625
I: 0.000 0.000 0.000
I: 0.000 0.000 0.500
I: 0.000 0.500 0.000
I: 0.000 0.500 0.500
I: 0.125 0.750 0.875
I: 0.125 0.875 0.250
I: 0.250 0.125 0.875
I: 0.250 0.625 0.375
I: 0.375 0.250 0.625
I: 0.375 0.625 0.750
I: 0.500 0.000 0.000
I: 0.500 0.000 0.500
I: 0.500 0.500 0.000
I: 0.500 0.500 0.500
I: 0.625 0.375 0.250
I: 0.625 0.750 0.375
I: 0.750 0.375 0.625
I: 0.750 0.875 0.125
I: 0.875 0.125 0.750
I: 0.875 0.250 0.125

***

No. 2
Here is a relaxed Li2TeI crystal from Alexandria via LeMat-Bulk. Energies are from PBE.

Calculated values
For the uncorrected formation energy, the calculation gives -719 meV/atom. As for the volume: 31.814 A^3/atom. The value obtained for the excess energy over the best structure of this formula in the dataset is 0 meV/atom. The calculation puts the size of the total moment at 2.00 μB per cell.

Unit cell a=7.226 b=7.226 c=7.226 alpha=122.81 beta=122.81 gamma=85.19
Atoms (fractional coordinates):
Li: 0.115 0.625 0.990
Li: 0.375 0.365 0.490
Li: 0.635 0.125 0.010
Li: 0.875 0.885 0.510
Te: 0.250 0.750 0.500
Te: 0.500 0.500 0.000
I: 0.000 0.000 0.000
I: 0.750 0.250 0.500

***

No. 3
Here is a relaxed LiTe2I6 crystal from Alexandria via LeMat-Bulk. Energies are from PBE.

Calculated values
For the uncorrected formation energy, the calculation gives -255 meV/atom. As for the volume: 60.248 A^3/atom. The calculation puts the size of the total moment at 0.00 μB per cell.

Unit cell a=11.852 b=11.852 c=9.180 alpha=110.09 beta=110.09 gamma=67.43
Atoms (fractional coordinates):
Li: 0.244 0.756 0.750
Li: 0.756 0.244 0.250
Te: 0.094 0.392 0.633
Te: 0.392 0.094 0.133
Te: 0.608 0.906 0.867
Te: 0.906 0.608 0.367
I: 0.090 0.746 0.449
I: 0.229 0.245 0.394
I: 0.245 0.229 0.894
I: 0.254 0.910 0.051
I: 0.261 0.547 0.833
I: 0.453 0.739 0.667
I: 0.547 0.261 0.333
I: 0.739 0.453 0.167
I: 0.746 0.090 0.949
I: 0.755 0.771 0.106
I: 0.771 0.755 0.606
I: 0.910 0.254 0.551

***

No. 4
Here is a relaxed LiTiTeI2 crystal from Alexandria via LeMat-Bulk. Energies are from PBE.

Calculated values
For the uncorrected formation energy, the calculation gives -464 meV/atom. As for the volume: 35.577 A^3/atom. The value obtained for the excess energy over the best structure of this formula in the dataset is 0 meV/atom. The calculation puts the size of the total moment at 1.00 μB per cell.

Unit cell a=5.771 b=5.771 c=5.340 alpha=90.00 beta=90.00 gamma=90.00
Atoms (fractional coordinates):
Li: 0.000 0.000 0.000
Ti: 0.500 0.500 0.500
Te: 0.500 0.500 0.000
I: 0.000 0.500 0.500
I: 0.500 0.000 0.500